# Nd5ErTm2Th

A geometry-optimized Nd5ErTm2Th structure (GGA-PBE, Alexandria).

Calculated values
Final energy in eV per formula unit: -43.48

Cell lengths 11.105, 11.105, 10.619 Å; angles 90.00, 90.00, 151.84 degrees
Element x y z (fractional)
Nd1 0.000 0.000 0.000
Nd2 0.000 0.000 0.500
Nd3 0.125 0.875 0.750
Nd4 0.221 0.779 0.057
Nd5 0.221 0.779 0.443
Nd6 0.498 0.502 0.250
Nd7 0.502 0.498 0.750
Nd8 0.779 0.221 0.557
Nd9 0.779 0.221 0.943
Nd10 0.875 0.125 0.250
Er1 0.102 0.898 0.250
Er2 0.898 0.102 0.750
Tm1 0.387 0.613 0.503
Tm2 0.387 0.613 0.997
Tm3 0.613 0.387 0.003
Tm4 0.613 0.387 0.497
Th1 0.288 0.712 0.750
Th2 0.712 0.288 0.250